Compound: DyTlHgF6
Source: Alexandria
Functional: PBE-GGA
Structure: optimized geometry

Computed properties:
SG ... P312
Formation energy without anion corrections ... -2.683 eV per atom
Uncorrected energy ... -42.641 eV/f.u.
Calculated density ... 6.07 g/cm3

Geometry as CIF:
```
data_DyTlHgF6
_chemical_formula_sum 'Dy1 Tl1 Hg1 F6'
_space_group_name_H-M_alt 'P 1'
_space_group_IT_number 1
_cell_length_a 6.2226
_cell_length_b 6.2226
_cell_length_c 5.5647
_cell_angle_alpha 90.02
_cell_angle_beta 89.98
_cell_angle_gamma 59.97
loop_
_space_group_symop_operation_xyz
'x,y,z'
loop_
_atom_site_label
_atom_site_type_symbol
_atom_site_fract_x
_atom_site_fract_y
_atom_site_fract_z
_atom_site_occupancy
F1 F 0.3847 0.6334 0.2895 1
F2 F 0.3845 0.9820 0.7103 1
F3 F 0.9819 0.3845 0.2896 1
F4 F 0.6335 0.9818 0.2895 1
F5 F 0.9818 0.6336 0.7104 1
F6 F 0.6334 0.3847 0.7104 1
Dy1 Dy 0.6666 0.6666 0.5000 1
Hg1 Hg 0.3334 0.3334 0.5000 1
Tl1 Tl 0.0000 0.0000 0.0000 1
```